# AcLaCeMg | Alexandria | PBE | optimized geometry
# Energy: -3.991 eV/atom
# Calculated density: 6.42 g/cm³
# D(E_F): 10.70 states/eV per cell
data_AcLaCeMg
_cell_length_a 5.7886
_cell_length_b 5.7886
_cell_length_c 5.7886
_cell_angle_alpha 60.00
_cell_angle_beta 60.00
_cell_angle_gamma 60.00
_symmetry_space_group_name_H-M 'P 1'
_symmetry_Int_Tables_number 1
loop_
_symmetry_equiv_pos_as_xyz
'x,y,z'
loop_
_atom_site_label
_atom_site_type_symbol
_atom_site_fract_x
_atom_site_fract_y
_atom_site_fract_z
_atom_site_occupancy
Ac1 Ac 0.0000 0.0000 0.0000 1
La1 La 0.5000 0.5000 0.5000 1
Ce1 Ce 0.7500 0.7500 0.7500 1
Mg1 Mg 0.2500 0.2500 0.2500 1